[1]
LiBe2Os after structural relaxation. Source: Alexandria via LeMat-Bulk, functional PBE.

abc: 3.8670 3.8670 3.8670
angles: 60.00 60.00 60.00
Atoms (fractional coordinates):
Li  0.0000  0.0000  0.0000
Be  0.2500  0.2500  0.2500
Be  0.5000  0.5000  0.5000
Os  0.7500  0.7500  0.7500

Results
Spin magnetization ... 0.0 Bohr magnetons per cell
V ... 10.2 Å³ per atom
Space group ... F-43m (216)
Calculated formation energy ... 17 kJ/mol of atoms



[2]
LiBeOs2 after structural relaxation. Source: Alexandria via LeMat-Bulk, functional PBE.

abc: 4.6369 4.6369 4.6369
angles: 134.17 134.17 66.83
Atoms (fractional coordinates):
Li  0.0000  0.0000  0.0000
Be  0.5000  0.5000  0.0000
Os  0.2500  0.7500  0.5000
Os  0.7500  0.2500  0.5000

Results
Spin magnetization ... 0.0 Bohr magnetons per cell
V ... 12.6 Å³ per atom
Space group ... I4/mmm (139)
Calculated formation energy ... 38 kJ/mol of atoms



[3]
LiBeOs2 after structural relaxation. Source: Alexandria via LeMat-Bulk, functional PBE.

abc: 2.8040 2.8040 6.2316
angles: 90.00 90.00 90.00
Atoms (fractional coordinates):
Li  0.0000  0.0000  0.0000
Be  0.5000  0.5000  0.7874
Os  0.0000  0.0000  0.5499
Os  0.5000  0.5000  0.2798

Results
Spin magnetization ... 0.0 Bohr magnetons per cell
V ... 12.2 Å³ per atom
Space group ... P4mm (99)
Calculated formation energy ... 7 kJ/mol of atoms



[4]
LiBe3Os after structural relaxation. Source: Alexandria via LeMat-Bulk, functional PBE.

abc: 3.6634 3.6634 3.6634
angles: 90.00 90.00 90.00
Atoms (fractional coordinates):
Li  0.0000  0.0000  0.0000
Be  0.0000  0.0000  0.5000
Be  0.0000  0.5000  0.0000
Be  0.5000  0.0000  0.0000
Os  0.5000  0.5000  0.5000

Results
Spin magnetization ... 0.0 Bohr magnetons per cell
V ... 9.8 Å³ per atom
Space group ... Pm-3m (221)
Energy relative to the lowest polymorph listed for this composition ... 1.87 eV per formula unit
Calculated formation energy ... 84 kJ/mol of atoms